AcUCrO6: relaxed, PBE+U. Values from VASP.

Structure (Quantum ESPRESSO input):
```
&SYSTEM
  ibrav = 0, nat = 18, ntyp = 4
/
ATOMIC_SPECIES
O 16.00 O.upf
Ac 227.00 Ac.upf
U 238.03 U.upf
Cr 52.00 Cr.upf
CELL_PARAMETERS angstrom
-0.895 2.656 4.676
1.829 -5.136 0.089
10.166 3.618 -0.109
ATOMIC_POSITIONS angstrom
O 2.154 -1.353 0.054
O 8.945 2.492 4.603
O 2.086 -1.073 2.985
O 6.341 3.110 4.602
O 4.850 -2.142 2.994
O 8.126 4.743 2.889
O 9.014 2.212 1.672
O 3.952 0.342 1.690
O 2.973 -3.604 1.768
O 6.249 3.281 1.663
O 7.147 0.797 2.967
O 4.758 -1.972 0.055
Ac 5.083 1.809 -0.054
Ac 0.000 0.000 0.000
U 8.545 0.175 1.537
U 2.554 0.964 3.120
Cr 7.637 2.773 3.066
Cr 3.462 -1.634 1.591
```

Computed properties:
Symmetry = P-31c, No. 163
VASP energy = -79.2 eV/f.u.